Density functional theory data (PBE with a Hubbard U) for a geometry-optimized CrSiO5 structure.

The value obtained for the total energy is -97.9 eV per cell. As for the mass density: 2.65 g/cm³.

```
CrSiO5
1.0
3.5804 3.5682 -0.3126
-3.5804 3.5682 -0.3126
0.0000 2.0337 7.6727
O Si Cr
10 2 2
Direct
0.0527 0.2680 0.6749 O
0.8905 0.2206 0.3962 O
0.3486 0.4727 0.3749 O
0.7607 0.1038 0.0986 O
0.2206 0.8905 0.8962 O
0.7144 0.8803 0.8351 O
0.4727 0.3486 0.8749 O
0.8803 0.7144 0.3351 O
0.1038 0.7607 0.5986 O
0.2680 0.0527 0.1749 O
0.0210 0.9511 0.7475 Si
0.9511 0.0210 0.2475 Si
0.4872 0.0613 0.9737 Cr
0.0613 0.4872 0.4737 Cr
```